# 1
VASP calculation (PBE) on an optimized crystal structure of PmNdSe2.

formation energy without anion corrections = -1.84 eV per atom
energy = -5.96 eV/atom
offset from the most stable computed form = 0 meV/atom
Fermi-level density of states = 5.76 states/eV/cell

Lattice parameters (Å, degrees): 4.2259 4.2259 20.5246 90.00 90.00 120.00
Space group R-3m (No. 166, hexagonal axes)
Asymmetric unit:
Pm: 0.0000 0.0000 0.0000 x3
Nd: 0.0000 0.0000 0.5000 x3
Se: 0.0000 0.0000 0.2510 x6

# 2
VASP calculation (PBE) on an optimized crystal structure of FeHI4.

energy = -3.07 eV/atom
offset from the most stable computed form = 0 meV/atom

Lattice parameters (Å, degrees): 6.662 12.694 7.247 90.00 112.05 90.00
Space group P2_1/m (No. 11)
Asymmetric unit:
Fe: 0.091 0.250 0.267 x2
H: 0.212 0.750 0.213 x2
I: 0.002 0.750 0.425 x2
I: 0.280 0.087 0.228 x4
I: 0.314 0.750 0.034 x2